Compound: Cr2CdCo
Source: Alexandria via LeMat-Bulk
Functional: PBE-GGA
Structure: optimized geometry

Computed properties:
Size of the total moment (μB per atom): 0.45
ρ (g/cm3): 8.11
SG: P4mm, No. 99
Total DFT energy (no corrections) (eV/atom): -6.512

POSCAR file:
```
Cr2CdCo
1.0
-2.073 -1.584 -1.321
1.170 -2.446 1.097
-3.827 0.563 5.332
Cr Co Cd
2 1 1
direct
0.500 0.500 0.195
0.000 0.000 0.996
0.500 0.500 0.796
0.000 0.000 0.513
```



Compound: CrCd2Co2
Source: Alexandria via LeMat-Bulk
Functional: PBE-GGA
Structure: optimized geometry

Computed properties:
Size of the total moment (μB per atom): 1.43
ρ (g/cm3): 7.54
ΔE to the lowest computed polymorph (eV/atom): 0.1349
SG: I4/mmm, No. 139

POSCAR file:
```
CrCd2Co2
1.0
-0.769 2.545 1.794
-0.553 -1.930 2.501
7.415 1.073 4.525
Cd Cr Co
2 1 2
direct
0.614 0.614 0.773
0.386 0.386 0.227
0.000 0.000 0.000
0.250 0.750 0.500
0.750 0.250 0.500
```



Compound: Cr2CdCo
Source: Alexandria via LeMat-Bulk
Functional: PBE-GGA
Structure: optimized geometry

Computed properties:
Size of the total moment (μB per atom): 0.49
ρ (g/cm3): 8.57
SG: I4/mmm, No. 139
Total DFT energy (no corrections) (eV/atom): -6.255

POSCAR file:
```
Cr2CdCo
1.0
4.823 -0.057 0.000
2.170 4.307 0.000
-3.496 -2.125 2.554
Cr Co Cd
2 1 1
direct
0.000 0.000 0.000
0.500 0.500 0.000
0.750 0.250 0.500
0.250 0.750 0.500
```



Compound: Cr2CdCo
Source: Alexandria via LeMat-Bulk
Functional: PBE-GGA
Structure: optimized geometry

Computed properties:
Size of the total moment (μB per atom): 0.14
ρ (g/cm3): 8.59
SG: Cmmm, No. 65
Total DFT energy (no corrections) (eV/atom): -6.205

POSCAR file:
```
Cr2CdCo
1.0
4.805 -0.007 0.000
-2.137 4.304 0.000
0.000 0.000 2.576
Cd Cr Co
1 2 1
direct
0.500 0.000 0.500
0.500 0.500 0.000
0.000 0.000 0.000
0.000 0.500 0.500
```



Compound: Cr2CdCo
Source: Alexandria via LeMat-Bulk
Functional: PBE-GGA
Structure: optimized geometry

Computed properties:
Size of the total moment (μB per atom): 0.21
ρ (g/cm3): 8.55
SG: Cmmm, No. 65
Total DFT energy (no corrections) (eV/atom): -6.381

POSCAR file:
```
Cr2CdCo
1.0
-2.156 0.530 -1.396
0.453 -2.098 -1.507
-4.213 -4.387 4.843
Cd Co Cr
1 1 2
direct
0.500 0.500 0.250
0.500 0.500 0.750
0.000 0.000 0.538
0.000 0.000 0.962
```



Compound: Cr2CdCo
Source: Alexandria via LeMat-Bulk
Functional: PBE-GGA
Structure: optimized geometry

Computed properties:
Size of the total moment (μB per atom): 0.37
ρ (g/cm3): 8.55
SG: Immm, No. 71
Total DFT energy (no corrections) (eV/atom): -6.297

POSCAR file:
```
Cr2CdCo
1.0
-2.646 1.879 3.884
-1.154 -2.981 3.924
3.704 1.980 -2.824
Co Cr Cd
1 2 1
direct
0.250 0.750 0.500
0.483 0.483 0.000
0.017 0.017 0.000
0.750 0.250 0.500
```